VASP calculation (PBE-GGA) on a geometry-optimized LiMgTa structure.

Unit cell a=4.770 b=7.742 c=5.548 alpha=90.00 beta=90.00 gamma=90.00
Sites, in units of the cell vectors:
1 Li 0.000 0.191 0.250
2 Li 0.000 0.809 0.750
3 Li 0.500 0.309 0.750
4 Li 0.500 0.691 0.250
5 Mg 0.000 0.500 0.000
6 Mg 0.000 0.500 0.500
7 Mg 0.500 0.000 0.000
8 Mg 0.500 0.000 0.500
9 Ta 0.000 0.142 0.750
10 Ta 0.000 0.858 0.250
11 Ta 0.500 0.358 0.250
12 Ta 0.500 0.642 0.750

Computed properties:
DOS(E_F) ... 0.4558 states/eV/atom
Total magnetic moment ... 0.0 Bohr magnetons per cell
Electronic total energy ... -4.40 eV/atom
Formation enthalpy at 0 K ... 0.725 eV/atom
Crystal system ... orthorhombic
Energy above the most stable polymorph in this dataset ... 644 meV per atom
Mass density ... 6.88 g/cm³